InBi2Sb: optimized geometry, GGA-PBE.

Computed properties:
* VASP energy: -3.566 eV/atom
* energy above the most stable polymorph in this dataset: 9 meV per atom
* raw formation energy: 0.0892 eV/atom

Cell lengths 4.3102, 4.3102, 24.3117 Å; angles 90.00, 90.00, 120.00 degrees
Space group R3m (No. 160, hexagonal axes)
One atom of each set of equivalent atoms:
In: 0.0000 0.0000 0.0000 x3
Bi: 0.0000 0.0000 0.5796 x3
Bi: 0.0000 0.0000 0.7509 x3
Sb: 0.0000 0.0000 0.1675 x3